Entry 1:
## RbH2Cl2 (PBE-GGA)

Data for crystalline RbH2Cl2 at its relaxed geometry.

Summary:
For the energy, the calculation gives -2.745 eV per atom. The space group is No. 12. The total magnetization is 0.0 μB per formula unit. The calculation puts the energy relative to the lowest polymorph listed for this composition at 186 meV per atom. The density of states at the Fermi level is 1.0 states/eV per cell.

Unit cell a=7.2573 b=8.3740 c=3.5144 alpha=32.99 beta=103.94 gamma=91.78
Last column: nearest neighbours and their distance in Å.
Element x y z (fractional)
1 Rb 0.5000 0.5000 0.0000  4 H 2.97
2 H 0.2144 0.1426 0.5748  2 Cl 1.75-1.76
3 H 0.7856 0.8574 0.4252  2 Cl 1.75-1.76
4 Cl 0.2197 0.1400 0.0809  2 H 1.75-1.76
5 Cl 0.7803 0.8600 0.9191  2 H 1.75-1.76

=====

Entry 2:
## Rb3H2Cl3 (PBE-GGA)

Data for crystalline Rb3H2Cl3 at its relaxed geometry.

Summary:
For the energy, the calculation gives -2.744 eV per atom. The space group is No. 15. The total magnetization is 2.0 μB per formula unit.

Unit cell a=4.8947 b=6.0535 c=25.1704 alpha=74.62 beta=130.99 gamma=113.85
Last column: nearest neighbours and their distance in Å.
Element x y z (fractional)
1 Rb 0.8945 0.7821 0.0826  1 H 2.90, 2 Cl 3.22-3.24
2 Rb 0.1124 0.2179 0.5826  1 H 2.90, 2 Cl 3.22-3.24
3 Rb 0.8876 0.7821 0.4174  1 H 2.90, 2 Cl 3.22-3.24
4 Rb 0.1055 0.2179 0.9174  1 H 2.90, 2 Cl 3.22-3.24
5 Rb 0.6596 0.3193 0.2500  2 H 3.23, 3 Cl 3.31
6 Rb 0.3404 0.6807 0.7500  2 H 3.23, 3 Cl 3.31
7 H 0.6999 0.6083 0.5817  1 Cl 2.19
8 H 0.0916 0.3917 0.0817  1 Cl 2.19
9 H 0.9084 0.6083 0.9183  1 Cl 2.19
10 H 0.3001 0.3917 0.4183  1 Cl 2.19
11 Cl 0.6493 0.1814 0.0934  1 H 2.19
12 Cl 0.4679 0.8186 0.5934  1 H 2.19
13 Cl 0.5321 0.1814 0.4066  1 H 2.19
14 Cl 0.3507 0.8186 0.9066  1 H 2.19
15 Cl 0.3604 0.7209 0.2500  5 Rb 3.22-3.31
16 Cl 0.6396 0.2791 0.7500  5 Rb 3.22-3.31

=====

Entry 3:
## RbH6Cl8 (PBE-GGA)

Data for crystalline RbH6Cl8 at its relaxed geometry.

Summary:
For the energy, the calculation gives -2.989 eV per atom. The space group is No. 148. The total magnetization is 1.2 μB per formula unit. The density of states at the Fermi level is 17.1 states/eV per cell.

Unit cell a=7.1903 b=7.1903 c=7.1903 alpha=88.04 beta=88.04 gamma=88.04
Last column: nearest neighbours and their distance in Å.
Element x y z (fractional)
1 Rb 0.0000 0.0000 0.0000  8 Cl 3.43-3.54
2 H 0.8281 0.4695 0.6622  1 Cl 1.33
3 H 0.4695 0.6622 0.8281  1 Cl 1.33
4 H 0.6622 0.8281 0.4695  1 Cl 1.33
5 H 0.1719 0.5305 0.3378  1 Cl 1.33
6 H 0.5305 0.3378 0.1719  1 Cl 1.33
7 H 0.3378 0.1719 0.5305  1 Cl 1.33
8 Cl 0.7336 0.7336 0.7336  3 H 2.07
9 Cl 0.2664 0.2664 0.2664  3 H 2.07
10 Cl 0.6167 0.8845 0.2981  1 H 1.33
11 Cl 0.8845 0.2981 0.6167  1 H 1.33
12 Cl 0.2981 0.6167 0.8845  1 H 1.33
13 Cl 0.3833 0.1155 0.7019  1 H 1.33
14 Cl 0.1155 0.7019 0.3833  1 H 1.33
15 Cl 0.7019 0.3833 0.1155  1 H 1.33